1.
A plane-wave DFT calculation with meta-GGA SCAN was carried out for AlIO2 at its PBEsol-relaxed geometry.

The formation energy (no corrections) comes out at -1592 meV per atom. Its crystal system is tetragonal. Its energy above the most stable polymorph in this dataset is 0 meV/atom. For the calculated density, the calculation gives 5.09 g/cm3. As for the total DFT energy (no corrections): -253.3 eV/cell.

It has space group I-42d (No. 122), with a = 5.3744 Å, b = 5.3744 Å, c = 8.4061 Å, α = 90.00°, β = 90.00° and γ = 90.00°. The asymmetric unit holds Al at (0.0000, 0.0000, 0.0000), I at (0.0000, 0.0000, 0.5000) and O at (0.0760, 0.2500, 0.1250).

2.
A plane-wave DFT calculation with meta-GGA SCAN was carried out for MnAsCl2 at its PBEsol-relaxed geometry.

The formation energy (no corrections) comes out at -295 meV per atom. Its crystal system is orthorhombic. Its energy above the most stable polymorph in this dataset is 281 meV/atom. For the calculated density, the calculation gives 4.29 g/cm3. As for the total DFT energy (no corrections): -111.2 eV/cell.

It has space group Cmmm (No. 65), with a = 5.9642 Å, b = 6.2742 Å, c = 4.1559 Å, α = 90.00°, β = 90.00° and γ = 90.00°. The asymmetric unit holds Mn at (0.0000, 0.0000, 0.0000), As at (0.0000, 0.5000, 0.0000) and Cl at (0.0000, 0.2343, 0.5000).

3.
A plane-wave DFT calculation with meta-GGA SCAN was carried out for BaNa2TaBi at its PBEsol-relaxed geometry.

Its formation energy is 96.7 kJ per mole of atoms. Its crystal system is tetragonal. For the calculated density, the calculation gives 4.37 g/cm3. As for the total DFT energy (no corrections): -188.1 eV/cell.

It has space group P4/mmm (No. 123), with a = 5.6988 Å, b = 5.6988 Å, c = 6.7104 Å, α = 90.00°, β = 90.00° and γ = 90.00°. The asymmetric unit holds Ba at (0.0000, 0.0000, 0.0000), Na at (0.0000, 0.5000, 0.5000), Ta at (0.5000, 0.5000, 0.0000) and Bi at (0.0000, 0.0000, 0.5000).

4.
A plane-wave DFT calculation with meta-GGA SCAN was carried out for BaIrRh2 at its PBEsol-relaxed geometry.

Its formation energy is -10.6 kJ per mole of atoms. Its crystal system is trigonal. Its energy above the most stable polymorph in this dataset is 0 meV/atom. For the calculated density, the calculation gives 9.67 g/cm3. As for the total DFT energy (no corrections): -535.9 eV/cell.

It has space group R-3m (No. 166, hexagonal axes), with a = 4.3920 Å, b = 4.3920 Å, c = 16.5042 Å, α = 90.00°, β = 90.00° and γ = 120.00°. The asymmetric unit holds Ba at (0.0000, 0.0000, 0.0000), Ir at (0.0000, 0.0000, 0.5000) and Rh at (0.0000, 0.0000, 0.1866).

5.
A plane-wave DFT calculation with meta-GGA SCAN was carried out for BaZnHg2 at its PBEsol-relaxed geometry.

Its formation energy is -24.7 kJ per mole of atoms. Its crystal system is tetragonal. For the calculated density, the calculation gives 9.41 g/cm3. As for the total DFT energy (no corrections): -190.4 eV/cell.

It has space group P4mm (No. 99), with a = 3.8672 Å, b = 3.8672 Å, c = 7.1268 Å, α = 90.00°, β = 90.00° and γ = 90.00°. The asymmetric unit holds Ba at (0.0000, 0.0000, 0.0000), Zn at (0.5000, 0.5000, 0.6885), Hg at (0.0000, 0.0000, 0.5279) and Hg at (0.5000, 0.5000, 0.2959).

6.
A plane-wave DFT calculation with meta-GGA SCAN was carried out for Ga2CoS4 at its PBEsol-relaxed geometry.

The formation energy (no corrections) comes out at -704 meV per atom. Its crystal system is tetragonal. For the calculated density, the calculation gives 3.94 g/cm3. As for the total DFT energy (no corrections): -186.9 eV/cell.

It has space group I-4 (No. 82), with a = 5.1715 Å, b = 5.1715 Å, c = 10.3074 Å, α = 90.00°, β = 90.00° and γ = 90.00°. The asymmetric unit holds Ga at (0.0000, 0.0000, 0.0000), Ga at (0.0000, 0.5000, 0.2500), Co at (0.0000, 0.5000, 0.7500) and S at (0.2329, 0.2444, 0.6216).

7.
A plane-wave DFT calculation with meta-GGA SCAN was carried out for Li2MnSiO4 at its PBEsol-relaxed geometry.

The formation energy (no corrections) comes out at -2586 meV per atom. Its crystal system is orthorhombic. Its energy above the most stable polymorph in this dataset is 12 meV/atom. For the calculated density, the calculation gives 3.10 g/cm3. As for the total DFT energy (no corrections): -314.6 eV/cell.

It has space group Pna2_1 (No. 33), with a = 10.8429 Å, b = 5.0721 Å, c = 6.2652 Å, α = 90.00°, β = 90.00° and γ = 90.00°. The asymmetric unit holds Li at (0.0750, 0.2039, 0.0000), Li at (0.1613, 0.8095, 0.2504), Mn at (0.1677, 0.8059, 0.7463), Si at (0.0862, 0.3099, 0.4991), O at (0.0555, 0.8030, 0.0022), O at (0.0860, 0.6349, 0.4942), O at (0.1562, 0.2005, 0.2827) and O at (0.1619, 0.2111, 0.7139).

8.
A plane-wave DFT calculation with meta-GGA SCAN was carried out for Na2Si2Ge at its PBEsol-relaxed geometry.

The formation energy (no corrections) comes out at 120 meV per atom. Its crystal system is tetragonal. For the calculated density, the calculation gives 2.82 g/cm3. As for the total DFT energy (no corrections): -93.9 eV/cell.

It has space group P4/mbm (No. 127), with a = 6.5054 Å, b = 6.5054 Å, c = 4.8679 Å, α = 90.00°, β = 90.00° and γ = 90.00°. The asymmetric unit holds Na at (0.1774, 0.3226, 0.0000), Si at (0.1270, 0.6270, 0.5000) and Ge at (0.0000, 0.0000, 0.5000).

9.
A plane-wave DFT calculation with meta-GGA SCAN was carried out for PSIO2 at its PBEsol-relaxed geometry.

The formation energy (no corrections) comes out at -113 meV per atom. Its crystal system is tetragonal. For the calculated density, the calculation gives 4.91 g/cm3. As for the total DFT energy (no corrections): -69.8 eV/cell.

It has space group P4/mmm (No. 123), with a = 3.5963 Å, b = 3.5963 Å, c = 5.7989 Å, α = 90.00°, β = 90.00° and γ = 90.00°. The asymmetric unit holds P at (0.0000, 0.0000, 0.0000), S at (0.5000, 0.5000, 0.5000), I at (0.0000, 0.0000, 0.5000) and O at (0.0000, 0.5000, 0.0000).

10.
A plane-wave DFT calculation with meta-GGA SCAN was carried out for LiTaIr at its PBEsol-relaxed geometry.

Its formation energy is -9.4 kJ per mole of atoms. Its crystal system is cubic. Its energy above the most stable polymorph in this dataset is 238 meV/atom. For the calculated density, the calculation gives 12.13 g/cm3. As for the total DFT energy (no corrections): -561.5 eV/cell.

It has space group F-43m (No. 216), with a = 5.9268 Å, b = 5.9268 Å, c = 5.9268 Å, α = 90.00°, β = 90.00° and γ = 90.00°. The asymmetric unit holds Li at (0.0000, 0.0000, 0.0000), Ta at (0.0000, 0.0000, 0.5000) and Ir at (0.2500, 0.2500, 0.2500).

11.
A plane-wave DFT calculation with meta-GGA SCAN was carried out for KTl2Cd at its PBEsol-relaxed geometry.

Its formation energy is -0.3 kJ per mole of atoms. Its crystal system is trigonal. For the calculated density, the calculation gives 7.95 g/cm3. As for the total DFT energy (no corrections): -550.4 eV/cell.

It has space group R-3m (No. 166, hexagonal axes), with a = 3.6259 Å, b = 3.6259 Å, c = 30.8250 Å, α = 90.00°, β = 90.00° and γ = 120.00°. The asymmetric unit holds K at (0.0000, 0.0000, 0.0000), Tl at (0.0000, 0.0000, 0.2394) and Cd at (0.0000, 0.0000, 0.5000).

12.
A plane-wave DFT calculation with meta-GGA SCAN was carried out for HgAuCl2 at its PBEsol-relaxed geometry.

The formation energy (no corrections) comes out at 24 meV per atom. Its crystal system is orthorhombic. Its energy above the most stable polymorph in this dataset is 136 meV/atom. For the calculated density, the calculation gives 9.02 g/cm3. As for the total DFT energy (no corrections): -153.2 eV/cell.

It has space group Pmmm (No. 47), with a = 3.6740 Å, b = 3.9190 Å, c = 5.9896 Å, α = 90.00°, β = 90.00° and γ = 90.00°. The asymmetric unit holds Hg at (0.0000, 0.0000, 0.0000), Au at (0.5000, 0.0000, 0.5000), Cl at (0.0000, 0.5000, 0.5000) and Cl at (0.5000, 0.5000, 0.0000).

13.
A plane-wave DFT calculation with meta-GGA SCAN was carried out for Al2IrRu at its PBEsol-relaxed geometry.

Its formation energy is -109.2 kJ per mole of atoms. Its crystal system is cubic. For the calculated density, the calculation gives 10.92 g/cm3. As for the total DFT energy (no corrections): -503.8 eV/cell.

It has space group Fm-3m (No. 225), with a = 5.9547 Å, b = 5.9547 Å, c = 5.9547 Å, α = 90.00°, β = 90.00° and γ = 90.00°. The asymmetric unit holds Al at (0.2500, 0.2500, 0.2500), Ir at (0.0000, 0.0000, 0.0000) and Ru at (0.0000, 0.0000, 0.5000).

14.
A plane-wave DFT calculation with meta-GGA SCAN was carried out for ScNiPO2 at its PBEsol-relaxed geometry.

The formation energy (no corrections) comes out at -979 meV per atom. Its crystal system is tetragonal. For the calculated density, the calculation gives 4.57 g/cm3. As for the total DFT energy (no corrections): -58.2 eV/cell.

It has space group P4/mmm (No. 123), with a = 3.7272 Å, b = 3.7272 Å, c = 4.3579 Å, α = 90.00°, β = 90.00° and γ = 90.00°. The asymmetric unit holds Sc at (0.0000, 0.0000, 0.0000), Ni at (0.5000, 0.5000, 0.5000), P at (0.5000, 0.5000, 0.0000) and O at (0.0000, 0.5000, 0.5000).

15.
A plane-wave DFT calculation with meta-GGA SCAN was carried out for LiCdHg2I at its PBEsol-relaxed geometry.

The formation energy (no corrections) comes out at -235 meV per atom. Its crystal system is tetragonal. For the calculated density, the calculation gives 6.98 g/cm3. As for the total DFT energy (no corrections): -207.1 eV/cell.

It has space group P4/mmm (No. 123), with a = 5.4802 Å, b = 5.4802 Å, c = 5.1308 Å, α = 90.00°, β = 90.00° and γ = 90.00°. The asymmetric unit holds Li at (0.0000, 0.0000, 0.0000), Cd at (0.5000, 0.5000, 0.5000), Hg at (0.0000, 0.5000, 0.0000) and I at (0.0000, 0.0000, 0.5000).

16.
A plane-wave DFT calculation with meta-GGA SCAN was carried out for SiNiPb2 at its PBEsol-relaxed geometry.

The formation energy (no corrections) comes out at 665 meV per atom. Its crystal system is tetragonal. Its energy above the most stable polymorph in this dataset is 694 meV/atom. For the calculated density, the calculation gives 10.14 g/cm3. As for the total DFT energy (no corrections): -350.2 eV/cell.

It has space group I4/mmm (No. 139), with a = 4.6173 Å, b = 4.6173 Å, c = 7.6958 Å, α = 90.00°, β = 90.00° and γ = 90.00°. The asymmetric unit holds Si at (0.0000, 0.0000, 0.0000), Ni at (0.0000, 0.0000, 0.5000) and Pb at (0.0000, 0.5000, 0.2500).

17.
A plane-wave DFT calculation with meta-GGA SCAN was carried out for SrAl2Co at its PBEsol-relaxed geometry.

Its formation energy is 32.7 kJ per mole of atoms. Its crystal system is tetragonal. For the calculated density, the calculation gives 4.68 g/cm3. As for the total DFT energy (no corrections): -107.5 eV/cell.

It has space group I4/mmm (No. 139), with a = 4.6424 Å, b = 4.6424 Å, c = 6.6001 Å, α = 90.00°, β = 90.00° and γ = 90.00°. The asymmetric unit holds Sr at (0.0000, 0.0000, 0.0000), Al at (0.0000, 0.5000, 0.2500) and Co at (0.0000, 0.0000, 0.5000).

18.
A plane-wave DFT calculation with meta-GGA SCAN was carried out for BeCrSb at its PBEsol-relaxed geometry.

The formation energy (no corrections) comes out at 275 meV per atom. Its crystal system is tetragonal. For the calculated density, the calculation gives 7.44 g/cm3. As for the total DFT energy (no corrections): -118.3 eV/cell.

It has space group I4mm (No. 107), with a = 3.1578 Å, b = 3.1578 Å, c = 8.1787 Å, α = 90.00°, β = 90.00° and γ = 90.00°. The asymmetric unit holds Be at (0.0000, 0.0000, 0.0000), Cr at (0.0000, 0.0000, 0.6323) and Sb at (0.0000, 0.0000, 0.3116).

19.
A plane-wave DFT calculation with meta-GGA SCAN was carried out for Y2Mn2Co15 at its PBEsol-relaxed geometry.

Its formation energy is -8.8 kJ per mole of atoms. Its crystal system is hexagonal. For the calculated density, the calculation gives 8.39 g/cm3. As for the total DFT energy (no corrections): -707.0 eV/cell.

It has space group P6_3/mmc (No. 194), with a = 8.1926 Å, b = 8.1926 Å, c = 7.9804 Å, α = 90.00°, β = 90.00° and γ = 120.00°. The asymmetric unit holds Y at (0.0000, 0.0000, 0.2500), Y at (0.3333, 0.6667, 0.2500), Mn at (0.3333, 0.6667, 0.5981), Co at (0.0000, 0.5000, 0.0000), Co at (0.0471, 0.3747, 0.7500) and Co at (0.1641, 0.3282, 0.0217).

20.
A plane-wave DFT calculation with meta-GGA SCAN was carried out for KSr2W at its PBEsol-relaxed geometry.

Its formation energy is 107.1 kJ per mole of atoms. Its crystal system is tetragonal. Its energy above the most stable polymorph in this dataset is 0 meV/atom. For the calculated density, the calculation gives 4.71 g/cm3. As for the total DFT energy (no corrections): -118.1 eV/cell.

It has space group P4/mmm (No. 123), with a = 3.3941 Å, b = 3.3941 Å, c = 12.1882 Å, α = 90.00°, β = 90.00° and γ = 90.00°. The asymmetric unit holds K at (0.0000, 0.0000, 0.0000), Sr at (0.5000, 0.5000, 0.3216) and W at (0.0000, 0.0000, 0.5000).

21.
A plane-wave DFT calculation with meta-GGA SCAN was carried out for Ga2B3O8 at its PBEsol-relaxed geometry.

The formation energy (no corrections) comes out at -2224 meV per atom. Its crystal system is orthorhombic. For the calculated density, the calculation gives 4.79 g/cm3. As for the total DFT energy (no corrections): -1070.0 eV/cell.

It has space group Cmce (No. 64), with a = 10.4531 Å, b = 7.4871 Å, c = 10.6328 Å, α = 90.00°, β = 90.00° and γ = 90.00°. The asymmetric unit holds Ga at (0.0000, 0.2069, 0.1326), Ga at (0.1473, 0.0000, 0.5000), B at (0.1247, 0.1497, 0.8685), B at (0.2500, 0.1021, 0.2500), O at (0.0000, 0.0385, 0.6128), O at (0.0000, 0.0532, 0.8559), O at (0.1290, 0.2380, 0.9900), O at (0.1358, 0.2167, 0.2656) and O at (0.2287, 0.0137, 0.8615).

22.
A plane-wave DFT calculation with meta-GGA SCAN was carried out for KWC2 at its PBEsol-relaxed geometry.

Its formation energy is 57.8 kJ per mole of atoms. Its crystal system is tetragonal. For the calculated density, the calculation gives 4.96 g/cm3. As for the total DFT energy (no corrections): -383.3 eV/cell.

It has space group I-42d (No. 122), with a = 6.0577 Å, b = 6.0577 Å, c = 9.0132 Å, α = 90.00°, β = 90.00° and γ = 90.00°. The asymmetric unit holds K at (0.0000, 0.0000, 0.0000), W at (0.0000, 0.0000, 0.5000) and C at (0.0694, 0.7500, 0.6250).

23.
A plane-wave DFT calculation with meta-GGA SCAN was carried out for NiAg3Os at its PBEsol-relaxed geometry.

Its formation energy is 197.7 kJ per mole of atoms. Its crystal system is cubic. For the calculated density, the calculation gives 8.00 g/cm3. As for the total DFT energy (no corrections): -171.9 eV/cell.

It has space group Pm-3m (No. 221), with a = 4.9165 Å, b = 4.9165 Å, c = 4.9165 Å, α = 90.00°, β = 90.00° and γ = 90.00°. The asymmetric unit holds Ni at (0.0000, 0.0000, 0.0000), Ag at (0.0000, 0.5000, 0.5000) and Os at (0.5000, 0.5000, 0.5000).